No. 1
GGA-PBE Li2CoNi, relaxed; energy = -4.081 eV per atom; distance to the lowest polymorph of the same formula = 0.0710 eV/atom; ΔH_f (0 K) = 0.10 eV per atom
1.0
8.323 0.000 0.000
0.000 2.472 0.000
-0.524 0.000 4.668
Li Co Ni
4 2 2
Cartesian
0.000 0.000 0.000 Li
1.588 0.000 3.625 Li
4.162 1.236 0.000 Li
5.749 1.236 3.625 Li
1.940 1.236 1.435 Co
6.101 0.000 1.435 Co
3.857 0.000 2.194 Ni
8.019 1.236 2.194 Ni



No. 2
GGA-PBE Ce5Tl2Hg2, relaxed; energy = -4.032 eV per atom; ΔH_f (0 K) = -0.14 eV per atom
1.0
-8.636 4.902 3.021
8.636 -4.902 3.021
8.636 4.902 -3.021
Ce Tl Hg
10 4 4
Cartesian
2.976 -1.424 1.496 Ce
5.660 -1.424 1.496 Ce
1.399 2.412 0.000 Ce
7.237 2.412 0.000 Ce
5.660 6.326 -1.525 Ce
11.612 1.424 1.496 Ce
4.318 4.729 1.486 Ce
1.399 2.490 3.021 Ce
7.237 2.490 3.021 Ce
4.318 0.173 4.507 Ce
-1.266 4.104 1.499 Tl
9.902 4.104 1.499 Tl
1.266 5.700 1.499 Tl
-1.266 0.798 4.519 Tl
12.954 -1.553 1.502 Hg
0.000 0.000 1.548 Hg
8.636 0.000 1.548 Hg
4.318 1.553 1.502 Hg



No. 3
GGA-PBE LiThPdRh, relaxed; energy = -6.160 eV per atom; distance to the lowest polymorph of the same formula = 0.0000 eV/atom; ΔH_f (0 K) = -0.69 eV per atom
1.0
3.901 0.000 0.000
0.000 4.121 0.000
0.000 0.000 4.587
Li Th Pd Rh
1 1 1 1
Cartesian
0.000 0.000 0.000 Li
0.000 2.061 2.294 Th
1.950 2.061 0.000 Pd
1.950 0.000 2.294 Rh



No. 4
GGA-PBE Zr2CrAgSb, relaxed; energy = -5.355 eV per atom; formation energy without anion corrections = 1.384 eV per atom
1.0
5.313 0.000 0.000
0.000 5.313 0.000
0.000 0.000 4.894
Zr Cr Ag Sb
2 1 1 1
Cartesian
0.000 2.657 0.000 Zr
2.657 0.000 0.000 Zr
0.000 0.000 2.447 Cr
2.657 2.657 2.447 Ag
2.657 2.657 0.000 Sb



No. 5
GGA-PBE LiSbTe2, relaxed; energy = -3.264 eV per atom; formation energy without anion corrections = -0.184 eV per atom
1.0
6.590 0.000 0.000
0.000 8.267 0.000
-0.694 0.000 3.993
Li Sb Te
2 2 4
Cartesian
0.000 0.000 0.000 Li
3.295 4.133 0.000 Li
0.000 4.133 0.000 Sb
3.295 0.000 0.000 Sb
1.301 2.067 1.996 Te
1.301 6.200 1.996 Te
4.596 2.067 1.996 Te
4.596 6.200 1.996 Te



No. 6
GGA-PBE NbCdPb2O8, relaxed; energy = -6.071 eV per atom; formation energy without anion corrections = -1.232 eV per atom
1.0
4.997 0.000 0.000
0.000 6.798 0.000
-0.018 0.000 5.000
Nb Cd Pb O
1 1 2 8
Cartesian
0.000 0.000 0.000 Nb
0.000 3.399 0.000 Cd
2.489 1.698 2.500 Pb
2.489 5.100 2.500 Pb
0.938 1.469 4.051 O
0.938 5.329 4.051 O
1.460 0.000 1.471 O
1.529 3.399 1.544 O
3.450 3.399 3.457 O
3.519 0.000 3.529 O
4.041 1.469 0.949 O
4.041 5.329 0.949 O



No. 7
GGA-PBE SmTaCo10, relaxed; energy = -7.300 eV per atom; ΔH_f (0 K) = 0.00 eV per atom
1.0
3.980 0.000 0.000
0.000 4.781 0.000
0.000 0.000 8.335
Sm Ta Co
1 1 10
Cartesian
0.000 0.000 0.000 Sm
0.000 2.390 4.167 Ta
0.000 0.000 2.898 Co
0.000 0.000 5.437 Co
0.000 2.390 1.563 Co
0.000 2.390 6.772 Co
1.990 0.000 4.167 Co
1.990 1.232 2.187 Co
1.990 1.232 6.148 Co
1.990 2.390 0.000 Co
1.990 3.549 2.187 Co
1.990 3.549 6.148 Co



No. 8
GGA-PBE CsRb2HgS2, relaxed; energy = -2.595 eV per atom; formation energy without anion corrections = -0.704 eV per atom
1.0
7.502 0.000 0.000
0.000 14.473 0.000
0.000 0.000 5.172
Cs Rb Hg S
2 4 2 4
Cartesian
0.000 0.000 0.000 Cs
3.751 7.237 2.586 Cs
0.383 4.177 2.586 Rb
3.368 11.413 0.000 Rb
4.134 3.060 0.000 Rb
7.119 10.296 2.586 Rb
0.000 7.237 0.000 Hg
3.751 0.000 2.586 Hg
1.857 5.505 0.000 S
1.894 12.741 2.586 S
5.608 1.732 2.586 S
5.645 8.969 0.000 S



No. 9
GGA-PBE MgCd3In4, relaxed; energy = -1.879 eV per atom; ΔH_f (0 K) = 0.03 eV per atom
1.0
2.504 1.446 9.377
-2.504 1.446 9.377
0.000 -2.891 9.377
Mg Cd In
1 3 4
Cartesian
0.000 0.000 0.000 Mg
0.000 0.000 7.236 Cd
0.000 0.000 14.065 Cd
0.000 0.000 20.894 Cd
0.000 0.000 3.481 In
0.000 0.000 10.635 In
0.000 0.000 17.494 In
0.000 0.000 24.648 In



No. 10
GGA-PBE HoAlAg, relaxed; energy = -3.893 eV per atom; ΔH_f (0 K) = -0.17 eV per atom
1.0
5.141 0.000 0.000
-2.571 4.453 0.000
0.000 0.000 8.773
Ho Al Ag
3 3 3
Cartesian
0.000 0.000 0.000 Ho
0.000 2.968 5.849 Ho
2.571 1.484 2.924 Ho
0.000 0.000 5.632 Al
0.000 2.968 2.708 Al
2.571 1.484 8.557 Al
0.000 0.000 3.061 Ag
0.000 2.968 0.137 Ag
2.571 1.484 5.985 Ag



No. 11
GGA-PBE Sr2ThScBi4, relaxed; energy = -4.791 eV per atom; ΔH_f (0 K) = -0.71 eV per atom
1.0
7.857 0.000 0.000
0.000 4.617 0.000
-2.694 0.000 7.829
Sr Th Sc Bi
2 1 1 4
Cartesian
0.000 0.000 0.000 Sr
3.929 2.309 0.000 Sr
-1.347 2.309 3.915 Th
2.582 0.000 3.915 Sc
0.048 0.000 5.694 Bi
1.388 2.309 2.207 Bi
3.776 2.309 5.622 Bi
5.115 0.000 2.135 Bi



No. 12
GGA-PBE LiInTe, relaxed; energy = -3.074 eV per atom; formation energy without anion corrections = -0.476 eV per atom; distance to the lowest polymorph of the same formula = 0.0581 eV/atom
1.0
4.647 0.000 0.000
-2.324 4.025 0.000
0.000 0.000 4.711
Li In Te
1 1 1
Cartesian
0.000 0.000 0.000 Li
2.324 1.342 2.373 In
0.000 2.683 0.135 Te